# 1
A plane-wave DFT calculation with PBE was carried out for an optimized crystal structure of Ni2MoIr.

Computed properties:
crystal system = tetragonal
final energy = -7.772 eV per atom
total magnetic moment = 0.0 Bohr magnetons per cell
energy relative to the elements = 0.17 eV per formula unit
D(E_F) = 7.29 states/eV/f.u.

abc: 2.634 2.634 7.549
angles: 90.00 90.00 90.00
Space group P4/mmm (No. 123)
Symmetry-distinct sites (fractional):
1 Ni 0.000 0.000 0.244
2 Mo 0.500 0.500 0.500
3 Ir 0.500 0.500 0.000

---

# 2
A plane-wave DFT calculation with PBE was carried out for an optimized crystal structure of NiMoIr3.

Computed properties:
crystal system = cubic
final energy = -7.107 eV per atom
total magnetic moment = 0.0 Bohr magnetons per cell
energy relative to the elements = 7.66 eV per formula unit
D(E_F) = 8.80 states/eV/f.u.

abc: 4.385 4.385 4.385
angles: 90.00 90.00 90.00
Space group Pm-3m (No. 221)
Symmetry-distinct sites (fractional):
1 Ni 0.000 0.000 0.000
2 Mo 0.500 0.500 0.500
3 Ir 0.000 0.000 0.500

---

# 3
A plane-wave DFT calculation with PBE was carried out for an optimized crystal structure of Ni8Mo3Ir2.

Computed properties:
crystal system = trigonal
final energy = -7.255 eV per atom
total magnetic moment = 0.0 Bohr magnetons per cell
energy relative to the elements = 2.15 eV per formula unit
D(E_F) = 15.63 states/eV/f.u.

abc: 4.5929 4.5929 27.9880
angles: 90.00 90.00 120.00
Space group R-3m (No. 166, hexagonal axes)
Symmetry-distinct sites (fractional):
1 Ni 0.0000 0.0000 0.2284
2 Ni 0.0000 0.5000 0.2690
3 Mo 0.0000 0.0000 0.3161
4 Mo 0.0000 0.0000 0.5000
5 Ir 0.0000 0.0000 0.1414